[1]
CaScMo2 | PBE | relaxed

Energy relative to the elements: 0.680 eV per atom
Total moment: 0.00 μB/atom
Excess energy over the best structure of this formula in the dataset: 0.473 eV/atom
Calculated volume: 19.74 A^3/atom

Lattice parameters (Å, degrees): 3.0179 3.0179 30.0398 90.00 90.00 120.00
Closest atoms and distances in Å follow each position.
Space group R-3m (No. 166, hexagonal axes)
Asymmetric unit:
1 Ca 0.0000 0.0000 0.0000 (multiplicity 3)  6 Ca 3.02, 6 Mo 3.16
2 Sc 0.0000 0.0000 0.5000 (multiplicity 3)  6 Mo 2.94, 6 Sc 3.02
3 Mo 0.0000 0.0000 0.2457 (multiplicity 6)  3 Sc 2.94, 6 Mo 3.02, 3 Ca 3.16


[2]
SrTaBe2 | PBE | relaxed

Energy relative to the elements: 0.669 eV per atom
Total moment: 0.00 μB/atom
Excess energy over the best structure of this formula in the dataset: 0.305 eV/atom
Calculated volume: 17.10 A^3/atom

Lattice parameters (Å, degrees): 4.9021 4.9021 2.8470 90.00 90.00 90.00
Closest atoms and distances in Å follow each position.
Space group P4/mmm (No. 123)
Asymmetric unit:
1 Sr 0.0000 0.0000 0.0000 (multiplicity 1)  8 Be 2.83, 2 Sr 2.85
2 Ta 0.5000 0.5000 0.0000 (multiplicity 1)  8 Be 2.83, 2 Ta 2.85
3 Be 0.0000 0.5000 0.5000 (multiplicity 2)  4 Ta 2.83, 4 Sr 2.83, 2 Be 2.85


[3]
Ce2FeTcGe6 | PBE | relaxed

Energy relative to the elements: -0.355 eV per atom
Total moment: 0.29 μB/atom
Calculated volume: 19.39 A^3/atom

Lattice parameters (Å, degrees): 6.1597 6.1597 35.4152 90.00 90.00 120.00
Closest atoms and distances in Å follow each position.
Space group R-3m (No. 166, hexagonal axes)
Asymmetric unit:
1 Ce 0.0000 0.0000 0.1136 (multiplicity 6)  9 Ge 3.13-3.29
2 Ce 0.0000 0.0000 0.2939 (multiplicity 6)  12 Ge 3.09-3.43
3 Fe 0.0000 0.0000 0.4276 (multiplicity 6)  6 Ge 2.40-2.43, 1 Tc 2.57
4 Tc 0.0000 0.0000 0.0000 (multiplicity 3)  6 Ge 2.50
5 Tc 0.0000 0.0000 0.5000 (multiplicity 3)  6 Ge 2.53, 2 Fe 2.57
6 Ge 0.0499 0.5249 0.2926 (multiplicity 18)  1 Fe 2.43, 1 Tc 2.50, 2 Ge 2.62
7 Ge 0.0599 0.5299 0.8731 (multiplicity 18)  1 Fe 2.40, 2 Ge 2.53, 1 Tc 2.53


[4]
HfTi3Co | PBE | relaxed

Energy relative to the elements: -0.137 eV per atom
Total moment: 0.00 μB/atom
Excess energy over the best structure of this formula in the dataset: 0.000 eV/atom
Calculated volume: 16.90 A^3/atom

Lattice parameters (Å, degrees): 8.3847 12.9616 3.1098 90.00 90.00 90.00
Closest atoms and distances in Å follow each position.
Space group Cmmm (No. 65)
Asymmetric unit:
1 Hf 0.0000 0.1987 0.0000 (multiplicity 4)  10 Ti 3.01-3.11, 2 Hf 3.11, 2 Co 3.15
2 Ti 0.0000 0.0000 0.5000 (multiplicity 2)  4 Co 2.39
3 Ti 0.0000 0.5000 0.0000 (multiplicity 2)  2 Co 2.38
4 Ti 0.1906 0.3564 0.5000 (multiplicity 8)  2 Co 2.55
5 Co 0.2161 0.0000 0.0000 (multiplicity 4)  7 Ti 2.38-2.55


[5]
Al2GaTeAu | PBE | relaxed

Total moment: 0.00 μB/atom
Formation energy from raw total energies: 0.543 eV per atom
Calculated volume: 25.52 A^3/atom

Lattice parameters (Å, degrees): 4.8340 4.8340 5.4612 90.00 90.00 90.00
Closest atoms and distances in Å follow each position.
Space group P4/mmm (No. 123)
Asymmetric unit:
1 Al 0.0000 0.5000 0.0000 (multiplicity 2)  2 Ga 2.42
2 Ga 0.0000 0.0000 0.0000 (multiplicity 1)  4 Al 2.42
3 Te 0.0000 0.0000 0.5000 (multiplicity 1)  2 Ga 2.73
4 Au 0.5000 0.5000 0.5000 (multiplicity 1)  4 Te 3.42, 8 Al 3.65


[6]
Zn2TcNi | PBE | relaxed

Energy relative to the elements: 0.021 eV per atom
Total moment: 0.00 μB/atom
Excess energy over the best structure of this formula in the dataset: 0.056 eV/atom
Calculated volume: 13.48 A^3/atom

Lattice parameters (Å, degrees): 2.7046 2.7046 25.5396 90.00 90.00 120.00
Closest atoms and distances in Å follow each position.
Space group R-3m (No. 166, hexagonal axes)
Asymmetric unit:
1 Zn 0.0000 0.0000 0.2453 (multiplicity 6)  3 Ni 2.54, 6 Zn 2.70, 3 Tc 2.74
2 Tc 0.0000 0.0000 0.0000 (multiplicity 3)  6 Tc 2.70, 6 Zn 2.74
3 Ni 0.0000 0.0000 0.5000 (multiplicity 3)  6 Zn 2.54, 6 Ni 2.70


[7]
AcNd15In4 | PBE | relaxed

Energy relative to the elements: -0.203 eV per atom
Total moment: 0.00 μB/atom
Calculated volume: 32.31 A^3/atom

Lattice parameters (Å, degrees): 5.0192 5.0192 25.6521 90.00 90.00 90.00
Closest atoms and distances in Å follow each position.
Space group P4/mmm (No. 123)
Asymmetric unit:
1 Ac 0.0000 0.0000 0.0000 (multiplicity 1)  12 Nd 3.55-3.77
2 Nd 0.0000 0.5000 0.1097 (multiplicity 4)  8 Nd 3.55-3.77, 2 In 3.55, 2 Ac 3.77
3 Nd 0.0000 0.5000 0.3052 (multiplicity 4)  8 Nd 3.52-3.55, 4 In 3.54-3.55
4 Nd 0.0000 0.5000 0.5000 (multiplicity 2)  4 In 3.54, 8 Nd 3.55
5 Nd 0.5000 0.5000 0.0000 (multiplicity 1)  4 Ac 3.55, 8 Nd 3.77
6 Nd 0.5000 0.5000 0.2088 (multiplicity 2)  8 Nd 3.52-3.57, 4 In 3.55
7 Nd 0.5000 0.5000 0.4022 (multiplicity 2)  8 Nd 3.53-3.55, 4 In 3.55
8 In 0.0000 0.0000 0.2078 (multiplicity 2)  12 Nd 3.54-3.55
9 In 0.0000 0.0000 0.4028 (multiplicity 2)  12 Nd 3.54-3.55


[8]
Hf3TeAu | PBE | relaxed

Total moment: 0.00 μB/atom
Formation energy from raw total energies: 0.506 eV per atom
Excess energy over the best structure of this formula in the dataset: 0.000 eV/atom
Calculated volume: 27.20 A^3/atom

Lattice parameters (Å, degrees): 5.1424 5.1424 5.1424 90.00 90.00 90.00
Closest atoms and distances in Å follow each position.
Space group Pm-3m (No. 221)
Asymmetric unit:
1 Hf 0.0000 0.0000 0.5000 (multiplicity 3)  2 Au 2.57
2 Te 0.5000 0.5000 0.5000 (multiplicity 1)  12 Hf 3.64
3 Au 0.0000 0.0000 0.0000 (multiplicity 1)  6 Hf 2.57